[1]
The following is a PBE calculation of an optimized crystal structure of Ba2Ag2Pb, from the Alexandria database.

## Properties
Energy above the lowest structure with this stoichiometry = 0 meV per atom
ρ = 6.8 g/cm³
Total magnetic moment = 0.0 μB per formula unit
Space-group type = No. 127
E = -29.74 eV/cell
Calculated volume = 34.0 A^3/atom

Cell: 8.637 8.637 4.555 Å, 90.00 90.00 90.00°
Element x y z (fractional)
1 Ag 0.885 0.615 0.000
2 Ag 0.615 0.115 0.000
3 Ag 0.385 0.885 0.000
4 Ag 0.115 0.385 0.000
5 Ba 0.684 0.816 0.500
6 Ba 0.184 0.684 0.500
7 Ba 0.816 0.316 0.500
8 Ba 0.316 0.184 0.500
9 Pb 0.000 0.000 0.000
10 Pb 0.500 0.500 0.000

***

[2]
The following is a PBE calculation of an optimized crystal structure of Os2RhSe, from the Alexandria database.

## Properties
Formation energy (no corrections) = 389 meV/atom
ρ = 15.6 g/cm³
Total magnetic moment = 0.0 μB per formula unit
Space-group type = No. 38
E = -31.74 eV/cell
Calculated volume = 14.9 A^3/atom

Cell: 3.950 2.861 5.480 Å, 74.90 90.00 90.00°
Element x y z (fractional)
1 Os 0.500 0.191 0.243
2 Os 0.000 0.802 0.021
3 Rh 0.000 0.552 0.521
4 Se 0.500 0.956 0.715

***

[3]
The following is a PBE calculation of an optimized crystal structure of ScBeZn2Au5, from the Alexandria database.

## Properties
ρ = 11.5 g/cm³
Total magnetic moment = 0.0 μB per formula unit
Space-group type = No. 71
E = -30.73 eV/cell
Calculated volume = 18.8 A^3/atom

Cell: 4.399 5.898 7.481 Å, 113.22 107.10 90.00°
Element x y z (fractional)
1 Sc 0.000 0.500 0.000
2 Au 0.369 0.135 0.738
3 Au 0.000 0.000 0.000
4 Au 0.631 0.865 0.262
5 Au 0.369 0.603 0.738
6 Au 0.631 0.397 0.262
7 Zn 0.199 0.199 0.398
8 Zn 0.801 0.801 0.602
9 Be 0.500 0.000 0.000

***

[4]
The following is a PBE calculation of an optimized crystal structure of Hf2ZnSbOs, from the Alexandria database.

## Properties
Formation energy (no corrections) = 514 meV/atom
ρ = 9.6 g/cm³
Total magnetic moment = 0.0 μB per formula unit
Space-group type = No. 123
E = -33.96 eV/cell
Calculated volume = 25.5 A^3/atom

Cell: 5.053 5.053 4.993 Å, 90.00 90.00 90.00°
Element x y z (fractional)
1 Sb 0.000 0.000 0.500
2 Hf 0.000 0.500 0.000
3 Hf 0.500 0.000 0.000
4 Zn 0.500 0.500 0.500
5 Os 0.000 0.000 0.000

***

[5]
The following is a PBE calculation of an optimized crystal structure of AlInTe2, from the Alexandria database.

## Properties
Formation energy (no corrections) = -299 meV/atom
ρ = 5.7 g/cm³
Total magnetic moment = 0.0 μB per formula unit
Space-group type = No. 160
E = -13.96 eV/cell
Calculated volume = 29.1 A^3/atom

Cell: 4.130 4.130 8.222 Å, 75.45 75.45 60.00°
Element x y z (fractional)
1 Te 0.267 0.267 0.200
2 Te 0.065 0.065 0.804
3 In 0.501 0.501 0.498
4 Al 0.667 0.667 0.998

***

[6]
The following is a PBE calculation of an optimized crystal structure of Ir3RhS, from the Alexandria database.

## Properties
Energy above the lowest structure with this stoichiometry = 0 meV per atom
Formation energy (no corrections) = 964 meV/atom
ρ = 14.2 g/cm³
Total magnetic moment = 1.9 μB per formula unit
Space-group type = No. 221
E = -33.24 eV/cell
Calculated volume = 16.6 A^3/atom

Cell: 4.361 4.361 4.361 Å, 90.00 90.00 90.00°
Site moments in Bohr magnetons follow the coordinates.
Element x y z (fractional)
1 Rh 0.500 0.500 0.500  0.81
2 Ir 0.500 0.000 0.000  0.50
3 Ir 0.000 0.500 0.000  0.34
4 Ir 0.000 0.000 0.500  0.26
5 S 0.000 0.000 0.000  0.01